(1)
## Pa2TiNb (PBE)

Data for crystalline Pa2TiNb at its relaxed geometry.

```
data_Pa2TiNb
_chemical_formula_sum 'Pa8 Ti4 Nb4'
_cell_length_a 7.053
_cell_length_b 7.053
_cell_length_c 7.053
_cell_angle_alpha 90.00
_cell_angle_beta 90.00
_cell_angle_gamma 90.00
_symmetry_space_group_name_H-M 'F m -3 m'
_symmetry_Int_Tables_number 225
_symmetry_space_group_name_Hall '-F 4 2 3'
loop_
_atom_site_label
_atom_site_fract_x
_atom_site_fract_y
_atom_site_fract_z
_atom_site_occupancy
Pa1 0.250 0.250 0.250 1
Ti1 0.000 0.000 0.000 1
Nb1 0.000 0.000 0.500 1
```

(2)
## LiRe2Mo (PBE)

Data for crystalline LiRe2Mo at its relaxed geometry.

```
data_LiRe2Mo
_chemical_formula_sum 'Li1 Re2 Mo1'
_cell_length_a 2.622
_cell_length_b 4.338
_cell_length_c 5.215
_cell_angle_alpha 90.00
_cell_angle_beta 99.75
_cell_angle_gamma 90.00
_symmetry_space_group_name_H-M 'P 1 m 1'
_symmetry_Int_Tables_number 6
loop_
_symmetry_equiv_pos_as_xyz
'x,y,z'
'x,-y,z'
loop_
_atom_site_label
_atom_site_fract_x
_atom_site_fract_y
_atom_site_fract_z
_atom_site_occupancy
Li1 0.000 0.000 0.000 1
Re1 0.255 0.500 0.755 1
Re2 0.485 0.000 0.507 1
Mo1 0.726 0.500 0.238 1
```

(3)
## CeHfCoRe (PBE)

Data for crystalline CeHfCoRe at its relaxed geometry.

```
data_CeHfCoRe
_chemical_formula_sum 'Ce4 Hf4 Co4 Re4'
_cell_length_a 6.651
_cell_length_b 6.651
_cell_length_c 6.651
_cell_angle_alpha 90.00
_cell_angle_beta 90.00
_cell_angle_gamma 90.00
_symmetry_space_group_name_H-M 'F -4 3 m'
_symmetry_Int_Tables_number 216
_symmetry_space_group_name_Hall 'F -4 2 3'
loop_
_atom_site_label
_atom_site_fract_x
_atom_site_fract_y
_atom_site_fract_z
_atom_site_occupancy
Ce1 0.000 0.000 0.000 1
Hf1 0.000 0.000 0.500 1
Co1 0.250 0.250 0.250 1
Re1 0.250 0.250 0.750 1
```

Listing formation enthalpy at 0 K for the structures above in their given order: 0.296; 0.196; -0.082 eV per atom.